# 1
Below is Pm4Ag5Pb after structural relaxation, with properties calculated at the PBE level.

POSCAR file:
```
Pm4Ag5Pb
1.0
-2.8879 -1.4777 -1.9868
-1.8318 -0.7789 3.2418
-7.7274 15.8522 -0.5577
Pm Ag Pb
4 5 1
Cartesian
-1.4750 3.0259 -0.1064 Pm
-3.0556 6.2685 -0.2205 Pm
-4.6717 9.5837 -0.3371 Pm
-6.2523 12.8263 -0.4512 Pm
-3.1184 0.4278 0.5727 Ag
-4.6178 3.5038 0.4645 Ag
-6.2235 6.7978 0.3486 Ag
-7.8292 10.0918 0.2328 Ag
-9.3287 13.1679 0.1246 Ag
0.0000 0.0000 0.0000 Pb
```

For the formation energy, the calculation gives -233 meV per atom. The total energy is -3.929 eV per atom.


# 2
Below is Te2MoOsI after structural relaxation, with properties calculated at the PBE level.

POSCAR file:
```
Te2MoOsI
1.0
5.1733 0.0000 0.0000
0.0000 5.1733 0.0000
0.0000 0.0000 5.5841
I Mo Te Os
1 1 2 1
Cartesian
0.0000 0.0000 2.7920 I
2.5866 2.5866 2.7920 Mo
0.0000 2.5866 0.0000 Te
2.5866 0.0000 0.0000 Te
0.0000 0.0000 0.0000 Os
```

The value obtained for the offset from the most stable computed form is 0.0000 eV/atom. The total energy is -4.628 eV per atom. The formation energy without anion corrections comes out at 130.34 kJ per mole of atoms.